# LiYW2

A relaxed LiYW2 crystal (GGA-PBE, the Alexandria database).

```
data_LiYW2
_chemical_formula_sum 'Li2 Y2 W4'
_symmetry_space_group_name_H-M 'C 1 m 1'
_symmetry_Int_Tables_number 8
_symmetry_space_group_name_Hall 'C -2y'
_cell_length_a 9.207
_cell_length_b 2.752
_cell_length_c 5.960
_cell_angle_alpha 90.00
_cell_angle_beta 93.17
_cell_angle_gamma 90.00
loop_
_atom_site_label
_atom_site_fract_x
_atom_site_fract_y
_atom_site_fract_z
_atom_site_occupancy
Li1 0.000 0.000 0.000 1
Y1 0.255 0.500 0.276 1
W1 0.006 0.500 0.578 1
W2 0.257 0.000 0.763 1
```

Results
Excess energy over the best structure of this formula in the dataset (eV per formula unit): 0.77
ΔE_f (meV per atom): 573

***

# LiYW4

A relaxed LiYW4 crystal (GGA-PBE, the Alexandria database).

```
data_LiYW4
_chemical_formula_sum 'Li4 Y4 W16'
_symmetry_space_group_name_H-M 'F -4 3 m'
_symmetry_Int_Tables_number 216
_symmetry_space_group_name_Hall 'F -4 2 3'
_cell_length_a 7.701
_cell_length_b 7.701
_cell_length_c 7.701
_cell_angle_alpha 90.00
_cell_angle_beta 90.00
_cell_angle_gamma 90.00
loop_
_atom_site_label
_atom_site_fract_x
_atom_site_fract_y
_atom_site_fract_z
_atom_site_occupancy
Li1 0.000 0.000 0.000 1
Y1 0.250 0.250 0.250 1
W1 0.125 0.125 0.625 1
```

Results
ΔE_f (meV per atom): 487

***

> Number 2 is which compound?

LiYW4